This record from Alexandria describes a relaxed structure of Ni2P5O16. The functional is PBE+U.

```
Ni2P5O16
1.0
6.749 0.000 0.000
0.000 5.041 0.005
0.000 0.224 18.934
Ni P O
4 10 32
Cartesian
1.247 1.339 11.242
5.502 3.926 7.697
1.247 4.038 17.163
5.502 1.227 1.775
0.896 1.320 8.038
0.896 3.833 1.434
5.853 3.945 10.901
5.011 0.056 4.733
1.739 0.168 14.200
3.664 3.727 2.502
5.853 1.432 17.505
3.085 3.839 11.969
3.664 1.426 6.970
3.085 1.538 16.437
6.650 2.854 2.035
5.215 3.462 9.599
0.099 2.411 16.904
3.984 1.080 5.435
5.805 4.353 5.772
6.385 5.039 17.601
4.347 4.686 1.560
0.364 4.927 8.134
2.766 1.192 14.902
1.534 3.350 0.133
6.650 2.299 7.437
3.908 2.253 2.284
3.908 2.900 7.187
2.402 4.798 11.026
3.984 4.073 4.037
2.088 3.946 2.531
0.099 2.966 11.502
6.385 0.338 10.804
5.805 0.800 3.700
2.088 1.207 6.941
2.841 2.365 11.751
2.766 4.185 13.504
0.945 0.912 13.167
4.347 0.467 7.912
0.364 0.226 1.338
2.841 3.012 16.654
4.662 1.319 16.408
5.215 1.915 18.806
4.662 4.058 11.998
0.945 4.465 15.239
1.534 1.803 9.339
2.402 0.579 17.379
```

Computed properties:
Total DFT energy (no corrections)   -301.0 eV for the cell shown
Symmetry   No. 13